Compound: LaTaN3
Source: the Alexandria database
Functional: PBE
Structure: optimized geometry

Output
Space group: No. 119
Formation energy (no corrections), kJ/mol of formula units: -241

a b c (Å): 12.211 12.211 12.211
angles (deg): 163.51 163.51 23.40
Atoms (fractional coordinates):
La: 0.000 0.000 0.000
La: 0.750 0.250 0.500
Ta: 0.131 0.631 0.500
Ta: 0.369 0.869 0.500
N: 0.319 0.319 0.000
N: 0.409 0.097 0.313
N: 0.681 0.681 0.000
N: 0.784 0.097 0.687
N: 0.903 0.216 0.313
N: 0.903 0.591 0.687

Compound: LaTaN3
Source: the Alexandria database
Functional: PBE
Structure: optimized geometry

Output
Space group: No. 227
Formation energy (no corrections), kJ/mol of formula units: -315

a b c (Å): 7.507 7.507 7.507
angles (deg): 60.00 60.00 60.00
Atoms (fractional coordinates):
La: 0.000 0.000 0.000
La: 0.000 0.000 0.500
La: 0.000 0.500 0.000
La: 0.500 0.000 0.000
Ta: 0.000 0.500 0.500
Ta: 0.500 0.000 0.500
Ta: 0.500 0.500 0.000
Ta: 0.500 0.500 0.500
N: 0.166 0.166 0.584
N: 0.166 0.584 0.166
N: 0.166 0.584 0.584
N: 0.416 0.416 0.834
N: 0.416 0.834 0.416
N: 0.416 0.834 0.834
N: 0.584 0.166 0.166
N: 0.584 0.166 0.584
N: 0.584 0.584 0.166
N: 0.834 0.416 0.416
N: 0.834 0.416 0.834
N: 0.834 0.834 0.416

Compound: LaTaN3
Source: the Alexandria database
Functional: PBE
Structure: optimized geometry

Output
Space group: No. 148
Formation energy (no corrections), kJ/mol of formula units: -452

a b c (Å): 6.195 6.195 6.195
angles (deg): 54.12 54.12 54.12
Atoms (fractional coordinates):
La: 0.128 0.128 0.128
La: 0.872 0.872 0.872
Ta: 0.348 0.348 0.348
Ta: 0.652 0.652 0.652
N: 0.064 0.495 0.672
N: 0.328 0.936 0.505
N: 0.495 0.672 0.064
N: 0.505 0.328 0.936
N: 0.672 0.064 0.495
N: 0.936 0.505 0.328

Compound: LaTaN3
Source: the Alexandria database
Functional: PBE
Structure: optimized geometry

Output
Space group: No. 63
Formation energy (no corrections), kJ/mol of formula units: -359

a b c (Å): 7.030 7.030 5.649
angles (deg): 90.00 90.00 144.42
Atoms (fractional coordinates):
La: 0.147 0.853 0.750
La: 0.853 0.147 0.250
Ta: 0.401 0.599 0.750
Ta: 0.599 0.401 0.250
N: 0.038 0.646 0.250
N: 0.354 0.962 0.250
N: 0.500 0.500 0.000
N: 0.500 0.500 0.500
N: 0.646 0.038 0.750
N: 0.962 0.354 0.750

Compound: LaTaN3
Source: the Alexandria database
Functional: PBE
Structure: optimized geometry

Output
Space group: No. 2
Formation energy (no corrections), kJ/mol of formula units: -552

a b c (Å): 3.759 6.050 7.486
angles (deg): 103.99 97.90 93.84
Atoms (fractional coordinates):
La: 0.200 0.321 0.159
La: 0.800 0.679 0.841
Ta: 0.279 0.096 0.679
Ta: 0.721 0.904 0.321
N: 0.232 0.060 0.387
N: 0.262 0.417 0.783
N: 0.400 0.014 0.921
N: 0.600 0.986 0.079
N: 0.738 0.583 0.217
N: 0.768 0.940 0.613

Compound: LaTaN3
Source: the Alexandria database
Functional: PBE
Structure: optimized geometry

Output
Space group: No. 6
Formation energy (no corrections), kJ/mol of formula units: -541

a b c (Å): 3.830 4.283 9.031
angles (deg): 90.00 95.84 90.00
Atoms (fractional coordinates):
La: 0.000 0.000 0.000
La: 0.170 0.500 0.640
Ta: 0.568 0.500 0.201
Ta: 0.621 0.000 0.424
N: 0.055 0.500 0.137
N: 0.141 0.000 0.511
N: 0.505 0.500 0.915
N: 0.569 0.000 0.201
N: 0.621 0.500 0.431
N: 0.735 0.500 0.819

Compound: La2TaN4
Source: the Alexandria database
Functional: PBE
Structure: optimized geometry

Output
Space group: No. 11
Relative energy among the computed polymorphs, meV per atom: 195.5
Formation energy (no corrections), kJ/mol of formula units: -681

a b c (Å): 6.185 6.234 7.068
angles (deg): 90.00 109.45 90.00
Atoms (fractional coordinates):
La: 0.161 0.250 0.011
La: 0.260 0.250 0.549
La: 0.740 0.750 0.451
La: 0.839 0.750 0.989
Ta: 0.282 0.750 0.808
Ta: 0.718 0.250 0.192
N: 0.065 0.511 0.744
N: 0.065 0.989 0.744
N: 0.472 0.750 0.090
N: 0.494 0.250 0.330
N: 0.506 0.750 0.670
N: 0.528 0.250 0.910
N: 0.935 0.011 0.256
N: 0.935 0.489 0.256

Compound: LaTa3N
Source: the Alexandria database
Functional: PBE
Structure: optimized geometry

Output
Space group: No. 221
Relative energy among the computed polymorphs, meV per atom: 0.0
Formation energy (no corrections), kJ/mol of formula units: 0

a b c (Å): 4.466 4.466 4.466
angles (deg): 90.00 90.00 90.00
Atoms (fractional coordinates):
La: 0.000 0.000 0.000
Ta: 0.000 0.500 0.500
Ta: 0.500 0.000 0.500
Ta: 0.500 0.500 0.000
N: 0.500 0.500 0.500

Compound: LaTaN3
Source: the Alexandria database
Functional: PBE
Structure: optimized geometry

Output
Space group: No. 1
Formation energy (no corrections), kJ/mol of formula units: -483

a b c (Å): 3.465 3.880 11.029
angles (deg): 92.34 98.95 90.90
Atoms (fractional coordinates):
La: 0.000 0.000 0.000
La: 0.234 0.426 0.311
Ta: 0.499 0.470 0.762
Ta: 0.890 0.950 0.577
N: 0.363 0.937 0.484
N: 0.444 0.495 0.932
N: 0.617 0.098 0.167
N: 0.676 0.970 0.751
N: 0.815 0.845 0.224
N: 0.989 0.459 0.646

Compound: LaTaN3
Source: the Alexandria database
Functional: PBE
Structure: optimized geometry

Output
Space group: No. 194
Formation energy (no corrections), kJ/mol of formula units: -402

a b c (Å): 3.720 3.720 12.730
angles (deg): 90.00 90.00 120.00
Atoms (fractional coordinates):
La: 0.000 0.000 0.000
La: 0.000 0.000 0.500
Ta: 0.333 0.667 0.250
Ta: 0.667 0.333 0.750
N: 0.000 0.000 0.250
N: 0.000 0.000 0.750
N: 0.333 0.667 0.095
N: 0.333 0.667 0.405
N: 0.667 0.333 0.595
N: 0.667 0.333 0.905

Compound: LaTaN3
Source: the Alexandria database
Functional: PBE
Structure: optimized geometry

Output
Space group: No. 1
Formation energy (no corrections), kJ/mol of formula units: -405

a b c (Å): 3.859 6.188 6.239
angles (deg): 92.17 95.15 96.83
Atoms (fractional coordinates):
La: 0.000 0.000 0.000
La: 0.007 0.514 0.418
Ta: 0.414 0.552 0.937
Ta: 0.480 0.053 0.531
N: 0.279 0.277 0.750
N: 0.409 0.307 0.273
N: 0.431 0.792 0.735
N: 0.575 0.126 0.222
N: 0.928 0.583 0.030
N: 0.996 0.153 0.625

Compound: LaTaN3
Source: the Alexandria database
Functional: PBE
Structure: optimized geometry

Output
Space group: No. 2
Formation energy (no corrections), kJ/mol of formula units: -557

a b c (Å): 3.767 4.372 10.109
angles (deg): 77.91 85.37 89.99
Atoms (fractional coordinates):
La: 0.059 0.393 0.204
La: 0.941 0.607 0.796
Ta: 0.479 0.202 0.599
Ta: 0.521 0.798 0.401
N: 0.038 0.837 0.321
N: 0.383 0.522 0.958
N: 0.479 0.699 0.606
N: 0.521 0.301 0.394
N: 0.617 0.478 0.042
N: 0.962 0.163 0.679